# 1
K2As2Se PBE relaxed; total magnetization = 0.75 Bohr magnetons per cell; formation energy without anion corrections = -7.28 kcal/mol of atoms; energy above the most stable polymorph in this dataset = 130 meV/atom; DOS(E_F) = 11.6 states/eV per cell; V = 301.26 Å³ per cell; space-group type = P4/mbm (127)
1.0
7.834 0.000 0.000
0.000 7.834 0.000
0.000 0.000 4.908
K As Se
4 4 2
direct
0.194 0.306 0.000 K
0.306 0.806 0.000 K
0.694 0.194 0.000 K
0.806 0.694 0.000 K
0.105 0.605 0.500 As
0.395 0.105 0.500 As
0.605 0.895 0.500 As
0.895 0.395 0.500 As
0.000 0.000 0.500 Se
0.500 0.500 0.500 Se

=====

# 2
K2AsSe PBE relaxed; total magnetization = 0.00 Bohr magnetons per cell; formation energy without anion corrections = -6.00 kcal/mol of atoms; energy above the most stable polymorph in this dataset = 328 meV/atom; DOS(E_F) = 1.6 states/eV per cell; V = 146.82 Å³ per cell; space-group type = P4mm (99)
1.0
3.870 0.000 0.000
0.000 3.870 0.000
0.000 0.000 9.803
K As Se
2 1 1
direct
0.000 0.000 0.000 K
0.500 0.500 0.430 K
0.500 0.500 0.749 As
0.000 0.000 0.680 Se

=====

# 3
KAsSe2 PBE relaxed; total magnetization = 0.00 Bohr magnetons per cell; formation energy without anion corrections = -10.54 kcal/mol of atoms; V = 121.99 Å³ per cell; space-group type = P4mm (99)
1.0
4.021 0.000 0.000
0.000 4.021 0.000
0.000 0.000 7.546
K As Se
1 1 2
direct
0.000 0.000 0.000 K
0.500 0.500 0.489 As
0.000 0.000 0.560 Se
0.500 0.500 0.185 Se

=====

# 4
K2AsSe PBE relaxed; total magnetization = 0.34 Bohr magnetons per cell; formation energy without anion corrections = -4.13 kcal/mol of atoms; energy above the most stable polymorph in this dataset = 408 meV/atom; DOS(E_F) = 3.5 states/eV per cell; V = 118.74 Å³ per cell; space-group type = R-3m (166)
1.0
1.817 1.049 10.388
-1.817 1.049 10.388
0.000 -2.098 10.388
K As Se
2 1 1
direct
0.246 0.246 0.246 K
0.754 0.754 0.754 K
0.000 0.000 0.000 As
0.500 0.500 0.500 Se

=====

# 5
KAsSe2 PBE relaxed; total magnetization = 0.00 Bohr magnetons per cell; formation energy without anion corrections = -13.02 kcal/mol of atoms; DOS(E_F) = 0.2 states/eV per cell; V = 131.46 Å³ per cell; space-group type = Cm (8)
1.0
6.512 -1.930 0.000
6.512 1.930 0.000
-0.854 0.000 5.230
K As Se
1 1 2
direct
0.000 0.000 0.000 K
0.716 0.716 0.608 As
0.260 0.260 0.930 Se
0.537 0.537 0.517 Se

=====

# 6
K2As2Se PBE relaxed; total magnetization = 0.00 Bohr magnetons per cell; formation energy without anion corrections = -10.27 kcal/mol of atoms; energy above the most stable polymorph in this dataset = 0 meV/atom; DOS(E_F) = 3.2 states/eV per cell; V = 145.88 Å³ per cell; space-group type = I4/mmm (139)
1.0
-1.894 1.894 10.166
1.894 -1.894 10.166
1.894 1.894 -10.166
K As Se
2 2 1
direct
0.096 0.096 0.000 K
0.904 0.904 0.000 K
0.250 0.750 0.500 As
0.750 0.250 0.500 As
0.500 0.500 0.000 Se

=====

# 7
KAsSe2 PBE relaxed; total magnetization = 0.00 Bohr magnetons per cell; formation energy without anion corrections = -13.72 kcal/mol of atoms; DOS(E_F) = 0.0 states/eV per cell; V = 278.49 Å³ per cell; space-group type = P2_1 (4)
1.0
5.566 0.000 0.000
0.000 5.343 0.000
-2.334 0.000 9.365
K As Se
2 2 4
direct
0.128 0.000 0.317 K
0.872 0.500 0.683 K
0.320 0.945 0.868 As
0.680 0.445 0.132 As
0.258 0.295 0.028 Se
0.378 0.138 0.661 Se
0.622 0.638 0.339 Se
0.742 0.795 0.972 Se

=====

# 8
K2AsSe PBE relaxed; total magnetization = 0.00 Bohr magnetons per cell; formation energy without anion corrections = -13.55 kcal/mol of atoms; energy above the most stable polymorph in this dataset = 0 meV/atom; DOS(E_F) = 1.1 states/eV per cell; V = 130.46 Å³ per cell; space-group type = Cm (8)
1.0
6.176 -1.993 0.000
6.176 1.993 0.000
-1.518 0.000 5.300
K As Se
2 1 1
direct
0.000 0.000 0.000 K
0.739 0.739 0.549 K
0.453 0.453 0.453 As
0.288 0.288 0.102 Se

=====

# 9
KAsSe2 PBE relaxed; total magnetization = 0.00 Bohr magnetons per cell; formation energy without anion corrections = -2.44 kcal/mol of atoms; DOS(E_F) = 1.4 states/eV per cell; V = 111.51 Å³ per cell; space-group type = P4mm (99)
1.0
3.463 0.000 0.000
0.000 3.463 0.000
0.000 0.000 9.299
K As Se
1 1 2
direct
0.000 0.000 0.000 K
0.500 0.500 0.708 As
0.000 0.000 0.605 Se
0.500 0.500 0.240 Se

=====

# 10
K2AsSe PBE relaxed; total magnetization = 0.24 Bohr magnetons per cell; formation energy without anion corrections = -8.60 kcal/mol of atoms; energy above the most stable polymorph in this dataset = 215 meV/atom; DOS(E_F) = 2.6 states/eV per cell; V = 108.29 Å³ per cell; space-group type = Cmmm (65)
1.0
3.301 -4.942 0.000
3.301 4.942 0.000
0.000 0.000 3.319
K As Se
2 1 1
direct
0.000 0.500 0.000 K
0.500 0.000 0.000 K
0.000 0.000 0.500 As
0.500 0.500 0.500 Se

=====

# 11
KAsSe PBE relaxed; total magnetization = 0.00 Bohr magnetons per cell; formation energy without anion corrections = -8.90 kcal/mol of atoms; energy above the most stable polymorph in this dataset = 239 meV/atom; DOS(E_F) = 0.2 states/eV per cell; V = 92.31 Å³ per cell; space-group type = P3m1 (156)
1.0
4.554 0.000 0.000
-2.277 3.944 0.000
0.000 0.000 5.141
K As Se
1 1 1
direct
0.000 0.000 0.000 K
0.333 0.667 0.543 As
0.667 0.333 0.440 Se

=====

# 12
K2Sm2As2Se9 PBE relaxed; total magnetization = 0.00 Bohr magnetons per cell; formation energy without anion corrections = -23.12 kcal/mol of atoms; V = 3456.87 Å³ per cell; space-group type = Pnma (62)
1.0
17.669 0.000 0.000
0.000 8.532 0.000
0.000 0.000 22.929
K Sm As Se
16 16 16 72
direct
0.000 0.000 0.000 K
0.000 0.000 0.500 K
0.000 0.500 0.000 K
0.000 0.500 0.500 K
0.090 0.000 0.223 K
0.090 0.500 0.223 K
0.410 0.000 0.723 K
0.410 0.500 0.723 K
0.500 0.000 0.000 K
0.500 0.000 0.500 K
0.500 0.500 0.000 K
0.500 0.500 0.500 K
0.590 0.000 0.277 K
0.590 0.500 0.277 K
0.910 0.000 0.777 K
0.910 0.500 0.777 K
0.172 0.003 0.825 Sm
0.172 0.497 0.825 Sm
0.246 0.501 0.568 Sm
0.246 0.999 0.568 Sm
0.254 0.001 0.068 Sm
0.254 0.499 0.068 Sm
0.328 0.503 0.325 Sm
0.328 0.997 0.325 Sm
0.672 0.003 0.675 Sm
0.672 0.497 0.675 Sm
0.746 0.501 0.932 Sm
0.746 0.999 0.932 Sm
0.754 0.001 0.432 Sm
0.754 0.499 0.432 Sm
0.828 0.503 0.175 Sm
0.828 0.997 0.175 Sm
0.066 0.750 0.654 As
0.107 0.250 0.667 As
0.132 0.250 0.384 As
0.159 0.750 0.400 As
0.341 0.250 0.900 As
0.368 0.750 0.884 As
0.393 0.750 0.167 As
0.434 0.250 0.154 As
0.566 0.750 0.846 As
0.607 0.250 0.833 As
0.632 0.250 0.116 As
0.659 0.750 0.100 As
0.841 0.250 0.600 As
0.868 0.750 0.616 As
0.893 0.750 0.333 As
0.934 0.250 0.346 As
0.033 0.043 0.359 Se
0.033 0.457 0.359 Se
0.056 0.250 0.792 Se
0.068 0.750 0.788 Se
0.089 0.750 0.893 Se
0.094 0.250 0.894 Se
0.125 0.750 0.555 Se
0.127 0.250 0.560 Se
0.147 0.250 0.031 Se
0.155 0.750 0.016 Se
0.161 0.750 0.121 Se
0.172 0.250 0.134 Se
0.182 0.020 0.690 Se
0.182 0.480 0.690 Se
0.209 0.750 0.301 Se
0.211 0.250 0.295 Se
0.228 0.516 0.434 Se
0.228 0.984 0.434 Se
0.272 0.016 0.934 Se
0.272 0.484 0.934 Se
0.289 0.750 0.795 Se
0.291 0.250 0.801 Se
0.318 0.520 0.190 Se
0.318 0.980 0.190 Se
0.328 0.750 0.634 Se
0.339 0.250 0.621 Se
0.345 0.250 0.516 Se
0.353 0.750 0.531 Se
0.373 0.750 0.060 Se
0.375 0.250 0.055 Se
0.406 0.750 0.394 Se
0.411 0.250 0.393 Se
0.432 0.250 0.288 Se
0.444 0.750 0.292 Se
0.467 0.543 0.859 Se
0.467 0.957 0.859 Se
0.533 0.043 0.141 Se
0.533 0.457 0.141 Se
0.556 0.250 0.708 Se
0.568 0.750 0.712 Se
0.589 0.750 0.607 Se
0.594 0.250 0.606 Se
0.625 0.750 0.945 Se
0.627 0.250 0.940 Se
0.647 0.250 0.469 Se
0.655 0.750 0.484 Se
0.661 0.750 0.379 Se
0.672 0.250 0.366 Se
0.682 0.020 0.810 Se
0.682 0.480 0.810 Se
0.709 0.750 0.199 Se
0.711 0.250 0.205 Se
0.728 0.516 0.066 Se
0.728 0.984 0.066 Se
0.772 0.016 0.566 Se
0.772 0.484 0.566 Se
0.789 0.750 0.705 Se
0.791 0.250 0.699 Se
0.818 0.520 0.310 Se
0.818 0.980 0.310 Se
0.828 0.750 0.866 Se
0.839 0.250 0.879 Se
0.845 0.250 0.984 Se
0.853 0.750 0.969 Se
0.873 0.750 0.440 Se
0.875 0.250 0.445 Se
0.906 0.750 0.106 Se
0.911 0.250 0.107 Se
0.932 0.250 0.212 Se
0.944 0.750 0.208 Se
0.967 0.543 0.641 Se
0.967 0.957 0.641 Se

=====

# 13
K2SmAsSe4 PBE relaxed; total magnetization = 0.00 Bohr magnetons per cell; formation energy without anion corrections = -25.22 kcal/mol of atoms; V = 458.43 Å³ per cell; space-group type = Imma (74)
1.0
-4.275 4.378 6.124
4.275 -4.378 6.124
4.275 4.378 -6.124
K Sm As Se
4 2 2 8
direct
0.000 0.000 0.000 K
0.500 0.000 0.000 K
0.500 0.000 0.500 K
0.500 0.500 0.500 K
0.000 0.500 0.500 Sm
0.500 0.500 0.000 Sm
0.000 0.000 0.500 As
0.000 0.500 0.000 As
0.200 0.740 0.460 Se
0.220 0.260 0.960 Se
0.229 0.250 0.521 Se
0.229 0.708 0.979 Se
0.771 0.292 0.021 Se
0.771 0.750 0.479 Se
0.780 0.740 0.040 Se
0.800 0.260 0.540 Se

=====

# 14
KSnAsSe3 PBE relaxed; total magnetization = 0.00 Bohr magnetons per cell; formation energy without anion corrections = -12.08 kcal/mol of atoms; V = 338.73 Å³ per cell; space-group type = P2_1/m (11)
1.0
8.325 0.000 0.000
0.000 4.065 0.000
-0.925 0.000 10.009
K Sn As Se
2 2 2 6
direct
0.092 0.250 0.180 K
0.908 0.750 0.820 K
0.258 0.750 0.518 Sn
0.742 0.250 0.482 Sn
0.428 0.250 0.843 As
0.572 0.750 0.157 As
0.138 0.250 0.671 Se
0.305 0.750 0.992 Se
0.462 0.250 0.309 Se
0.538 0.750 0.691 Se
0.695 0.250 0.008 Se
0.862 0.750 0.329 Se

=====

# 15
KSrAs2Se PBE relaxed; total magnetization = 0.00 Bohr magnetons per cell; formation energy without anion corrections = 8.85 kcal/mol of atoms; energy above the most stable polymorph in this dataset = 308 meV/atom; DOS(E_F) = 5.9 states/eV per cell; V = 166.27 Å³ per cell; space-group type = P4/mmm (123)
1.0
5.435 0.000 0.000
0.000 5.435 0.000
0.000 0.000 5.629
K Sr As Se
1 1 2 1
direct
0.000 0.000 0.000 K
0.500 0.500 0.500 Sr
0.000 0.500 0.000 As
0.500 0.000 0.000 As
0.000 0.000 0.500 Se

=====

# 16
KSrAsSe2 PBE relaxed; total magnetization = 0.00 Bohr magnetons per cell; formation energy without anion corrections = 2.62 kcal/mol of atoms; energy above the most stable polymorph in this dataset = 362 meV/atom; DOS(E_F) = 6.9 states/eV per cell; V = 169.58 Å³ per cell; space-group type = P4/mmm (123)
1.0
5.639 0.000 0.000
0.000 5.639 0.000
0.000 0.000 5.332
K Sr As Se
1 1 1 2
direct
0.000 0.000 0.000 K
0.500 0.500 0.500 Sr
0.000 0.000 0.500 As
0.000 0.500 0.000 Se
0.500 0.000 0.000 Se

=====

# 17
KSrAs2Se PBE relaxed; total magnetization = 1.12 Bohr magnetons per cell; formation energy without anion corrections = 1.74 kcal/mol of atoms; energy above the most stable polymorph in this dataset = 0 meV/atom; DOS(E_F) = 5.5 states/eV per cell; V = 197.35 Å³ per cell; space-group type = P4/mmm (123)
1.0
5.817 0.000 0.000
0.000 5.817 0.000
0.000 0.000 5.833
K Sr As Se
1 1 2 1
direct
0.000 0.000 0.000 K
0.500 0.500 0.500 Sr
0.000 0.500 0.500 As
0.500 0.000 0.500 As
0.500 0.500 0.000 Se

=====

# 18
KSrAsSe2 PBE relaxed; total magnetization = 2.97 Bohr magnetons per cell; formation energy without anion corrections = -5.74 kcal/mol of atoms; energy above the most stable polymorph in this dataset = 0 meV/atom; DOS(E_F) = 5.6 states/eV per cell; V = 208.96 Å³ per cell; space-group type = P4/mmm (123)
1.0
5.908 0.000 0.000
0.000 5.908 0.000
0.000 0.000 5.986
K Sr As Se
1 1 1 2
direct
0.000 0.000 0.000 K
0.500 0.500 0.500 Sr
0.500 0.500 0.000 As
0.000 0.500 0.500 Se
0.500 0.000 0.500 Se

=====

# 19
K3Ta2AsSe11 PBE relaxed; total magnetization = 0.00 Bohr magnetons per cell; formation energy without anion corrections = -16.91 kcal/mol of atoms; V = 1018.33 Å³ per cell; space-group type = Cc (9)
1.0
7.620 -6.729 0.000
7.620 6.729 0.000
-1.611 0.000 9.930
K Ta As Se
6 4 2 22
direct
0.068 0.932 0.500 K
0.295 0.467 0.742 K
0.467 0.295 0.242 K
0.683 0.830 0.345 K
0.830 0.683 0.845 K
0.932 0.068 0.000 K
0.027 0.572 0.230 Ta
0.319 0.911 0.913 Ta
0.572 0.027 0.730 Ta
0.911 0.319 0.413 Ta
0.378 0.694 0.183 As
0.694 0.378 0.683 As
0.096 0.292 0.249 Se
0.133 0.796 0.827 Se
0.162 0.238 0.475 Se
0.213 0.603 0.427 Se
0.226 0.537 0.076 Se
0.238 0.162 0.975 Se
0.283 0.922 0.170 Se
0.292 0.096 0.749 Se
0.420 0.924 0.520 Se
0.468 0.794 0.709 Se
0.501 0.707 0.987 Se
0.537 0.226 0.576 Se
0.586 0.992 0.987 Se
0.603 0.213 0.927 Se
0.707 0.501 0.487 Se
0.790 0.945 0.673 Se
0.794 0.468 0.209 Se
0.796 0.133 0.327 Se
0.922 0.283 0.670 Se
0.924 0.420 0.020 Se
0.945 0.790 0.173 Se
0.992 0.586 0.487 Se